VASP calculation (PBE-GGA) on an optimized crystal structure of Si2NiCl.

Output
E in eV per atom: -4.1850
ΔE_f (raw) in meV/atom: 433
Crystal system: orthorhombic
Magnetization in μB per formula unit: 0.000
Calculated volume in A^3/atom: 14.854
ΔE to the lowest computed polymorph in eV per formula unit: 3.03

Cell: 6.3930 6.8451 2.7155 Å, 90.00 90.00 90.00°
With the nearest neighbours (Å) after each atom.
Space group Cmmm (No. 65)
Asymmetric unit:
Si  0.2500  0.2500  0.0000  4 Cl 2.71, 4 Ni 2.71, 2 Si 2.72
Ni  0.0000  0.0000  0.5000  8 Si 2.71, 2 Ni 2.72
Cl  0.0000  0.5000  0.5000  8 Si 2.71, 2 Cl 2.72

VASP calculation (PBE-GGA) on an optimized crystal structure of Zr2CuHRh.

Output
E in eV per atom: -6.7822
Crystal system: tetragonal
Magnetization in μB per formula unit: 0.000
Calculated volume in A^3/atom: 14.574
ΔE to the lowest computed polymorph in eV per formula unit: 0.00

Cell: 4.5199 4.5199 3.5670 Å, 90.00 90.00 90.00°
With the nearest neighbours (Å) after each atom.
Space group P4/mmm (No. 123)
Asymmetric unit:
Zr  0.0000  0.5000  0.0000  2 H 2.26
Cu  0.0000  0.0000  0.5000  2 H 1.78
H  0.0000  0.0000  0.0000  2 Cu 1.78
Rh  0.5000  0.5000  0.5000  8 Zr 2.88, 4 Cu 3.20

> What is the magnetization in the second record?

0.000 μB per formula unit